(1)
The following is a PBE-GGA calculation of an optimized crystal structure of Nb2GaRh4, from Alexandria via LeMat-Bulk.

Lattice parameters (Å, degrees): 4.4949 4.4949 7.1711 71.74 71.74 90.00
With the nearest neighbours (Å) after each atom.
Atoms (fractional coordinates):
Nb: 0.3677 0.3677 0.2646  1 Rh 2.30
Nb: 0.6323 0.6323 0.7354  1 Rh 2.30
Rh: 0.1890 0.1890 0.6221  1 Nb 2.30, 1 Ga 2.43
Rh: 0.8110 0.8110 0.3779  1 Nb 2.30, 1 Ga 2.43
Rh: 0.0000 0.5000 0.0000  2 Ga 2.25
Rh: 0.5000 0.0000 0.0000  2 Ga 2.25
Ga: 0.0000 0.0000 0.0000  6 Rh 2.25-2.43

Output
The calculated formation energy comes out at 0.468 eV/atom. The total moment is 0.0 μB/f.u. Its space group is I4/mmm (139).

=====

(2)
The following is a PBE-GGA calculation of an optimized crystal structure of Nb2GaRh, from Alexandria via LeMat-Bulk.

Lattice parameters (Å, degrees): 4.0483 4.4725 5.0612 66.19 66.43 63.09
With the nearest neighbours (Å) after each atom.
Atoms (fractional coordinates):
Nb: 0.8817 0.7160 0.5207  3 Rh 2.70-2.73, 3 Ga 2.78-2.84, 2 Nb 2.82-2.83
Nb: 0.7233 0.4076 0.1458  3 Rh 2.72-2.87, 3 Ga 2.72-2.75, 2 Nb 2.82-2.83
Ga: 0.1193 0.8631 0.8983  3 Rh 2.58-2.61, 6 Nb 2.72-2.84
Rh: 0.4860 0.2753 0.7526  3 Ga 2.58-2.61, 6 Nb 2.70-2.87

Output
The calculated formation energy comes out at -0.051 eV/atom. The total moment is 0.0 μB/f.u. Its space group is Cm (8).

=====

(3)
The following is a PBE-GGA calculation of an optimized crystal structure of Nb2GaRh, from Alexandria via LeMat-Bulk.

Lattice parameters (Å, degrees): 3.8072 3.8072 10.0769 79.11 79.11 90.00
With the nearest neighbours (Å) after each atom.
Atoms (fractional coordinates):
Nb: 0.6152 0.1250 0.2500  4 Nb 2.64-2.75, 2 Ga 2.76, 2 Rh 2.79
Nb: 0.1348 0.6250 0.2500  4 Nb 2.64-2.75, 2 Ga 2.76, 2 Rh 2.79
Nb: 0.3750 0.3848 0.7500  4 Nb 2.64-2.75, 2 Ga 2.76, 2 Rh 2.79
Nb: 0.8750 0.8652 0.7500  4 Nb 2.64-2.75, 2 Ga 2.76, 2 Rh 2.79
Rh: 0.0000 0.0000 0.0000  4 Ga 2.69, 4 Nb 2.79
Rh: 0.7500 0.2500 0.5000  4 Ga 2.69, 4 Nb 2.79
Ga: 0.5000 0.5000 0.0000  4 Rh 2.69, 4 Nb 2.76
Ga: 0.2500 0.7500 0.5000  4 Rh 2.69, 4 Nb 2.76

Output
The calculated formation energy comes out at 0.163 eV/atom. The total moment is 0.0 μB/f.u. Its space group is I-42d (122).

=====

(4)
The following is a PBE-GGA calculation of an optimized crystal structure of Nb2GaRh3, from Alexandria via LeMat-Bulk.

Lattice parameters (Å, degrees): 5.6844 7.3481 7.3481 141.36 90.00 90.00
With the nearest neighbours (Å) after each atom.
Atoms (fractional coordinates):
Nb: 0.7610 0.3444 0.6534  8 Rh 2.69-2.87, 2 Nb 2.84, 2 Ga 2.93-2.95
Nb: 0.2610 0.3466 0.6556  8 Rh 2.69-2.87, 2 Nb 2.84, 2 Ga 2.93-2.95
Nb: 0.2610 0.6556 0.3466  8 Rh 2.69-2.87, 2 Nb 2.84, 2 Ga 2.93-2.95
Nb: 0.7610 0.6534 0.3444  8 Rh 2.69-2.87, 2 Nb 2.84, 2 Ga 2.93-2.95
Ga: 0.5148 0.7924 0.7924  2 Rh 2.39-2.47
Ga: 0.0148 0.2076 0.2076  2 Rh 2.39-2.47
Rh: 0.5109 0.1735 0.8122  1 Ga 2.69, 6 Nb 2.69-2.87, 3 Rh 2.84-2.88
Rh: 0.0109 0.1878 0.8265  1 Ga 2.69, 6 Nb 2.69-2.87, 3 Rh 2.84-2.88
Rh: 0.5092 0.2848 0.2848  2 Ga 2.39-2.47
Rh: 0.0092 0.7152 0.7152  2 Ga 2.39-2.47
Rh: 0.0109 0.8265 0.1878  1 Ga 2.69, 6 Nb 2.69-2.87, 3 Rh 2.84-2.88
Rh: 0.5109 0.8122 0.1735  1 Ga 2.69, 6 Nb 2.69-2.87, 3 Rh 2.84-2.88

Output
Its energy above the most stable polymorph in this dataset is 8 meV/atom. The calculated formation energy comes out at -0.413 eV/atom. The total moment is 0.0 μB/f.u. Its space group is Cmc2_1 (36).